Here is HfZrSb2Rh2 after structural relaxation from the Alexandria database. Energies are from PBE.

a b c (Å): 7.7360 7.7360 7.7360
angles (deg): 33.55 33.55 33.55
Atoms (fractional coordinates):
Hf 0.0000 0.0000 0.0000
Zr 0.4998 0.4998 0.4998
Sb 0.2502 0.2502 0.2502
Sb 0.7496 0.7496 0.7496
Rh 0.1241 0.1241 0.1241
Rh 0.6256 0.6256 0.6256

Calculated values
E_form (uncorrected): -0.975 eV per atom
total moment: 0.000 μB/atom

Here is Hf2Sc2Rh after structural relaxation from the Alexandria database. Energies are from PBE.

a b c (Å): 6.5722 6.5722 4.9382
angles (deg): 90.00 90.00 90.00
Atoms (fractional coordinates):
Hf 0.1586 0.3414 0.0000
Hf 0.3414 0.8414 0.0000
Hf 0.6586 0.1586 0.0000
Hf 0.8414 0.6586 0.0000
Sc 0.1519 0.6519 0.5000
Sc 0.3481 0.1519 0.5000
Sc 0.6519 0.8481 0.5000
Sc 0.8481 0.3481 0.5000
Rh 0.0000 0.0000 0.5000
Rh 0.5000 0.5000 0.5000

Calculated values
formation energy from the elements: -0.122 eV/atom
energy above the lowest structure with this stoichiometry: 63.5 meV/atom
total moment: 0.000 μB/atom

Here is Hf2Sc2Rh after structural relaxation from the Alexandria database. Energies are from PBE.

a b c (Å): 6.6798 6.6798 4.9668
angles (deg): 90.00 90.00 90.00
Atoms (fractional coordinates):
Hf 0.1516 0.3484 0.0000
Hf 0.3484 0.8484 0.0000
Hf 0.6516 0.1516 0.0000
Hf 0.8484 0.6516 0.0000
Sc 0.1613 0.6613 0.5000
Sc 0.3387 0.1613 0.5000
Sc 0.6613 0.8387 0.5000
Sc 0.8387 0.3387 0.5000
Rh 0.0000 0.0000 0.0000
Rh 0.5000 0.5000 0.0000

Calculated values
formation energy from the elements: -0.185 eV/atom
energy above the lowest structure with this stoichiometry: 0.0 meV/atom
total moment: 0.000 μB/atom

Here is HfScRh2 after structural relaxation from the Alexandria database. Energies are from PBE.

a b c (Å): 4.5950 4.5950 4.5950
angles (deg): 60.00 60.00 60.00
Atoms (fractional coordinates):
Hf 0.0000 0.0000 0.0000
Sc 0.5000 0.5000 0.5000
Rh 0.2500 0.2500 0.2500
Rh 0.7500 0.7500 0.7500

Calculated values
formation energy from the elements: -0.961 eV/atom
energy above the lowest structure with this stoichiometry: 4.0 meV/atom
total moment: 0.000 μB/atom

Here is Hf2ScRh4 after structural relaxation from the Alexandria database. Energies are from PBE.

a b c (Å): 7.7502 7.7502 7.7502
angles (deg): 33.41 33.41 33.41
Atoms (fractional coordinates):
Hf 0.2424 0.2424 0.2424
Hf 0.7576 0.7576 0.7576
Sc 0.0000 0.0000 0.0000
Rh 0.1233 0.1233 0.1233
Rh 0.3748 0.3748 0.3748
Rh 0.6252 0.6252 0.6252
Rh 0.8767 0.8767 0.8767

Calculated values
formation energy from the elements: -0.765 eV/atom
total moment: 0.000 μB/atom

Here is HfSc2Rh after structural relaxation from the Alexandria database. Energies are from PBE.

a b c (Å): 10.1906 10.1906 10.1906
angles (deg): 17.69 17.69 17.69
Atoms (fractional coordinates):
Hf 0.0000 0.0000 0.0000
Sc 0.1017 0.1017 0.1017
Sc 0.8983 0.8983 0.8983
Rh 0.5000 0.5000 0.5000

Calculated values
formation energy from the elements: -0.090 eV/atom
energy above the lowest structure with this stoichiometry: 384.8 meV/atom
total moment: 0.000 μB/atom

Here is HfSc2Rh2 after structural relaxation from the Alexandria database. Energies are from PBE.

a b c (Å): 9.8501 9.8501 3.1015
angles (deg): 90.00 90.00 160.96
Atoms (fractional coordinates):
Hf 0.0000 0.0000 0.0000
Sc 0.1715 0.8285 0.0000
Sc 0.8285 0.1715 0.0000
Rh 0.4145 0.5855 0.5000
Rh 0.5855 0.4145 0.5000

Calculated values
formation energy from the elements: -0.688 eV/atom
energy above the lowest structure with this stoichiometry: 26.1 meV/atom
total moment: 0.000 μB/atom

Here is HfScRh after structural relaxation from the Alexandria database. Energies are from PBE.

a b c (Å): 3.2831 3.2831 10.6704
angles (deg): 90.00 90.00 90.00
Atoms (fractional coordinates):
Hf 0.2500 0.2500 0.0942
Hf 0.7500 0.7500 0.9058
Sc 0.2500 0.2500 0.3927
Sc 0.7500 0.7500 0.6073
Rh 0.2500 0.2500 0.7541
Rh 0.7500 0.7500 0.2459

Calculated values
formation energy from the elements: -0.625 eV/atom
energy above the lowest structure with this stoichiometry: 0.0 meV/atom
total moment: 0.170 μB/atom

We obtain E values of -7.8837, -8.1059, -8.1694, -8.7084, -8.7143, -7.5819, -8.1518, -8.5037 eV per atom for the records listed above, in that order.
We obtain calculated volume values of 21.0, 21.3, 22.2, 17.2, 18.0, 21.3, 19.6, 19.2 Å³ per atom for the records listed above, in that order.